# Ba4Cd2Pd

An optimized crystal structure of Ba4Cd2Pd (GGA-PBE, the Alexandria database).

```
data_Ba4Cd2Pd
_space_group_name_H-M_alt 'I 4/m m m'
_space_group_IT_number 139
_space_group_name_Hall '-I 4 2'
_cell_length_a 6.1285
_cell_length_b 6.1285
_cell_length_c 17.5910
_cell_angle_alpha 90.00
_cell_angle_beta 90.00
_cell_angle_gamma 90.00
loop_
_atom_site_label
_atom_site_type_symbol
_atom_site_fract_x
_atom_site_fract_y
_atom_site_fract_z
_atom_site_occupancy
Ba1 Ba 0.0000 0.0000 0.1839 1
Ba2 Ba 0.0000 0.5000 0.0000 1
Cd1 Cd 0.0000 0.0000 0.3862 1
Pd1 Pd 0.0000 0.0000 0.0000 1
```

Summary:
Volume ... 47.19 Å³ per atom
Energy of formation from the pure elements ... -0.227 eV per atom
Fermi-level density of states ... 9.74 states/eV/f.u.
Crystal system ... tetragonal
Energy above the lowest structure with this stoichiometry ... 8.9 kJ per mole of atoms
Spin magnetization ... 0.0 μB per formula unit

***

# Rb3Ni2HgCl9

An optimized crystal structure of Rb3Ni2HgCl9 (GGA-PBE, the Alexandria database).

```
data_Rb3Ni2HgCl9
_space_group_name_H-M_alt 'P -3 m 1'
_space_group_IT_number 164
_space_group_name_Hall '-P 3 2"'
_cell_length_a 7.0709
_cell_length_b 7.0709
_cell_length_c 8.7286
_cell_angle_alpha 90.00
_cell_angle_beta 90.00
_cell_angle_gamma 120.00
loop_
_atom_site_label
_atom_site_type_symbol
_atom_site_fract_x
_atom_site_fract_y
_atom_site_fract_z
_atom_site_occupancy
Rb1 Rb 0.0000 0.0000 0.0000 1
Rb2 Rb 0.3333 0.6667 0.6720 1
Ni1 Ni 0.3333 0.6667 0.1566 1
Hg1 Hg 0.0000 0.0000 0.5000 1
Cl1 Cl 0.0000 0.5000 0.0000 1
Cl2 Cl 0.1775 0.3551 0.3141 1
```

Summary:
Volume ... 25.20 Å³ per atom
Fermi-level density of states ... 3.11 states/eV/f.u.
Crystal system ... trigonal
Spin magnetization ... 1.9 μB per formula unit
Formation energy without anion corrections ... -16.32 eV per formula unit

***

# NaCd5Pt4

An optimized crystal structure of NaCd5Pt4 (GGA-PBE, the Alexandria database).

```
data_NaCd5Pt4
_space_group_name_H-M_alt 'P m m m'
_space_group_IT_number 47
_cell_length_a 2.9933
_cell_length_b 3.8965
_cell_length_c 16.1344
_cell_angle_alpha 90.00
_cell_angle_beta 90.00
_cell_angle_gamma 90.00
loop_
_space_group_symop_operation_xyz
'x,y,z'
'-x,-y,-z'
'-x,-y,z'
'x,y,-z'
'x,-y,-z'
'-x,y,z'
'-x,y,-z'
'x,-y,z'
loop_
_atom_site_label
_atom_site_type_symbol
_atom_site_fract_x
_atom_site_fract_y
_atom_site_fract_z
_atom_site_occupancy
Na1 Na 0.0000 0.0000 0.0000 1
Cd1 Cd 0.5000 0.5000 0.1262 1
Cd2 Cd 0.5000 0.5000 0.3133 1
Cd3 Cd 0.5000 0.5000 0.5000 1
Pt1 Pt 0.0000 0.0000 0.2183 1
Pt2 Pt 0.0000 0.0000 0.4070 1
```

Summary:
Volume ... 18.82 Å³ per atom
Energy of formation from the pure elements ... -0.262 eV per atom
Fermi-level density of states ... 3.56 states/eV/f.u.
Crystal system ... orthorhombic
Spin magnetization ... 0.0 μB per formula unit

***

# B5C7

An optimized crystal structure of B5C7 (GGA-PBE, the Alexandria database).

```
data_B5C7
_space_group_name_H-M_alt 'C 1 m 1'
_space_group_IT_number 8
_cell_length_a 13.1857
_cell_length_b 2.5818
_cell_length_c 4.7892
_cell_angle_alpha 90.00
_cell_angle_beta 106.38
_cell_angle_gamma 90.00
loop_
_space_group_symop_operation_xyz
'x,y,z'
'x,-y,z'
'x+1/2,y+1/2,z'
'x+1/2,-y+1/2,z'
loop_
_atom_site_label
_atom_site_type_symbol
_atom_site_fract_x
_atom_site_fract_y
_atom_site_fract_z
_atom_site_occupancy
B1 B 0.0000 0.0000 0.0000 1
B2 B 0.0222 0.0000 0.6447 1
B3 B 0.1659 0.0000 0.7786 1
B4 B 0.2050 0.5000 0.0307 1
B5 B 0.3469 0.5000 0.1012 1
C1 C 0.0458 0.5000 0.1977 1
C2 C 0.1672 0.5000 0.3113 1
C3 C 0.2073 0.0000 0.4976 1
C4 C 0.3322 0.0000 0.5942 1
C5 C 0.3746 0.0000 0.3187 1
C6 C 0.3760 0.5000 0.7764 1
C7 C 0.4934 0.0000 0.4420 1
```

Summary:
Volume ... 6.52 Å³ per atom
Energy of formation from the pure elements ... 0.417 eV per atom
Fermi-level density of states ... 2.38 states/eV/f.u.
Crystal system ... monoclinic
Energy above the lowest structure with this stoichiometry ... 15.4 kJ per mole of atoms
Spin magnetization ... 0.0 μB per formula unit